Record 1
FeHRu2, relaxed, DFT GGA-PBE; ΔE to the lowest computed polymorph = 25.8 kJ per mole of atoms; density of states at the Fermi level = 0.93 states/eV/atom; spin magnetization = 2.1 Bohr magnetons per cell
1.0
0.000 2.823 2.823
2.823 0.000 2.823
2.823 2.823 0.000
Fe H Ru
1 1 2
direct
0.500 0.500 0.500
0.000 0.000 0.000
0.750 0.750 0.750
0.250 0.250 0.250


Record 2
Fe3HRu, relaxed, DFT GGA-PBE; ΔE to the lowest computed polymorph = 0.0 kJ per mole of atoms; density of states at the Fermi level = 0.85 states/eV/atom; spin magnetization = 0.0 Bohr magnetons per cell
1.0
3.604 0.000 0.000
0.000 3.604 0.000
0.000 0.000 3.604
Fe Ru H
3 1 1
direct
0.500 0.000 0.000
0.000 0.500 0.000
0.000 0.000 0.500
0.500 0.500 0.500
0.000 0.000 0.000


Record 3
Fe2H2Ru, relaxed, DFT GGA-PBE; ΔE to the lowest computed polymorph = 0.0 kJ per mole of atoms; density of states at the Fermi level = 0.86 states/eV/atom; spin magnetization = 7.6 Bohr magnetons per cell
1.0
-1.313 1.168 -3.336
3.896 -2.509 -0.281
-4.083 -3.465 0.395
H Fe Ru
4 4 2
direct
0.165 0.330 0.574
0.497 0.995 0.730
0.503 0.005 0.270
0.835 0.670 0.426
0.000 0.000 0.751
0.668 0.336 0.586
0.000 0.000 0.249
0.332 0.664 0.414
0.667 0.333 0.077
0.333 0.667 0.923


Record 4
Fe3HRu, relaxed, DFT GGA-PBE; ΔE to the lowest computed polymorph = 169.2 kJ per mole of atoms; density of states at the Fermi level = 1.15 states/eV/atom; spin magnetization = 10.2 Bohr magnetons per cell
1.0
4.617 0.000 0.000
0.000 4.617 0.000
0.000 0.000 4.617
Ru H Fe
1 1 3
direct
0.000 0.000 0.000
0.500 0.500 0.500
0.000 0.500 0.000
0.500 0.000 0.000
0.000 0.000 0.500